# 1
# PBE HgBiS2, relaxed
data_HgBiS2
_chemical_formula_sum 'Hg3 Bi3 S6'
_symmetry_space_group_name_H-M 'R -3 m'
_symmetry_Int_Tables_number 166
_symmetry_space_group_name_Hall '-R 3 2"'
_cell_length_a 3.8433
_cell_length_b 3.8433
_cell_length_c 25.1882
_cell_angle_alpha 90.00
_cell_angle_beta 90.00
_cell_angle_gamma 120.00
loop_
_atom_site_label
_atom_site_type_symbol
_atom_site_fract_x
_atom_site_fract_y
_atom_site_fract_z
_atom_site_occupancy
Hg1 Hg 0.0000 0.0000 0.0000 1
Bi1 Bi 0.0000 0.0000 0.5000 1
S1 S 0.0000 0.0000 0.3932 1
# - E above lowest polymorph: 0.3185 eV/atom

# 2
DFT (PBE) results for a geometry-optimized Hg6BiS8 structure.

```
data_Hg6BiS8
_chemical_formula_sum 'Hg18 Bi3 S24'
_symmetry_space_group_name_H-M 'R -3'
_symmetry_Int_Tables_number 148
_symmetry_space_group_name_Hall '-R 3'
_cell_length_a 10.9192
_cell_length_b 10.9192
_cell_length_c 10.4348
_cell_angle_alpha 90.00
_cell_angle_beta 90.00
_cell_angle_gamma 120.00
loop_
_atom_site_label
_atom_site_type_symbol
_atom_site_fract_x
_atom_site_fract_y
_atom_site_fract_z
_atom_site_occupancy
Hg1 Hg 0.0312 0.2406 0.1587 1
Bi1 Bi 0.0000 0.0000 0.5000 1
S1 S 0.0000 0.0000 0.2027 1
S2 S 0.0549 0.2742 0.6232 1
```

# 3
DFT (PBE) results for a geometry-optimized Hg5Bi3S12 structure.

```
data_Hg5Bi3S12
_chemical_formula_sum 'Hg40 Bi24 S96'
_symmetry_space_group_name_H-M 'I a -3 d'
_symmetry_Int_Tables_number 230
_symmetry_space_group_name_Hall '-I 4bd 2c 3'
_cell_length_a 15.931
_cell_length_b 15.931
_cell_length_c 15.931
_cell_angle_alpha 90.00
_cell_angle_beta 90.00
_cell_angle_gamma 90.00
loop_
_atom_site_label
_atom_site_type_symbol
_atom_site_fract_x
_atom_site_fract_y
_atom_site_fract_z
_atom_site_occupancy
Hg1 Hg 0.000 0.000 0.000 1
Hg2 Hg 0.000 0.250 0.375 1
Bi1 Bi 0.000 0.250 0.125 1
S1 S 0.018 0.066 0.653 1
```

# 4
# PBE HgBi2S4, relaxed
data_HgBi2S4
_chemical_formula_sum 'Hg2 Bi4 S8'
_symmetry_space_group_name_H-M 'P 1 21/m 1'
_symmetry_Int_Tables_number 11
_symmetry_space_group_name_Hall '-P 2yb'
_cell_length_a 7.508
_cell_length_b 7.554
_cell_length_c 7.762
_cell_angle_alpha 90.00
_cell_angle_beta 102.71
_cell_angle_gamma 90.00
loop_
_atom_site_label
_atom_site_type_symbol
_atom_site_fract_x
_atom_site_fract_y
_atom_site_fract_z
_atom_site_occupancy
Hg1 Hg 0.235 0.250 0.253 1
Bi1 Bi 0.296 0.750 0.956 1
Bi2 Bi 0.297 0.750 0.406 1
S1 S 0.035 0.750 0.125 1
S2 S 0.054 0.750 0.654 1
S3 S 0.460 0.503 0.242 1
# - E above lowest polymorph: 0.1748 eV/atom

# 5
# PBE HgBi2S4, relaxed
data_HgBi2S4
_chemical_formula_sum 'Hg4 Bi8 S16'
_symmetry_space_group_name_H-M 'C 1 2/m 1'
_symmetry_Int_Tables_number 12
_symmetry_space_group_name_Hall '-C 2y'
_cell_length_a 14.612
_cell_length_b 4.100
_cell_length_c 14.369
_cell_angle_alpha 90.00
_cell_angle_beta 119.38
_cell_angle_gamma 90.00
loop_
_atom_site_label
_atom_site_type_symbol
_atom_site_fract_x
_atom_site_fract_y
_atom_site_fract_z
_atom_site_occupancy
Hg1 Hg 0.000 0.000 0.000 1
Hg2 Hg 0.000 0.000 0.500 1
Bi1 Bi 0.150 0.500 0.364 1
Bi2 Bi 0.224 0.000 0.869 1
S1 S 0.000 0.000 0.333 1
S2 S 0.128 0.500 0.926 1
S3 S 0.157 0.000 0.169 1
S4 S 0.194 0.500 0.564 1
# - E above lowest polymorph: 0.0000 eV/atom

# 6
# PBE HgBiS2, relaxed
data_HgBiS2
_chemical_formula_sum 'Hg4 Bi4 S8'
_symmetry_space_group_name_H-M 'I -4 2 d'
_symmetry_Int_Tables_number 122
_symmetry_space_group_name_Hall 'I -4 2bw'
_cell_length_a 5.834
_cell_length_b 5.834
_cell_length_c 14.517
_cell_angle_alpha 90.00
_cell_angle_beta 90.00
_cell_angle_gamma 90.00
loop_
_atom_site_label
_atom_site_type_symbol
_atom_site_fract_x
_atom_site_fract_y
_atom_site_fract_z
_atom_site_occupancy
Hg1 Hg 0.000 0.000 0.000 1
Bi1 Bi 0.000 0.000 0.500 1
S1 S 0.244 0.250 0.125 1
# - E above lowest polymorph: 0.1713 eV/atom

# 7
# PBE HgBi2S4, relaxed
data_HgBi2S4
_chemical_formula_sum 'Hg4 Bi8 S16'
_symmetry_space_group_name_H-M 'C 1 2/m 1'
_symmetry_Int_Tables_number 12
_symmetry_space_group_name_Hall '-C 2y'
_cell_length_a 20.137
_cell_length_b 4.147
_cell_length_c 11.661
_cell_angle_alpha 90.00
_cell_angle_beta 117.54
_cell_angle_gamma 90.00
loop_
_atom_site_label
_atom_site_type_symbol
_atom_site_fract_x
_atom_site_fract_y
_atom_site_fract_z
_atom_site_occupancy
Hg1 Hg 0.131 0.000 0.188 1
Bi1 Bi 0.140 0.500 0.470 1
Bi2 Bi 0.188 0.000 0.794 1
S1 S 0.054 0.000 0.294 1
S2 S 0.091 0.500 0.646 1
S3 S 0.202 0.000 0.072 1
S4 S 0.242 0.000 0.624 1
# - E above lowest polymorph: 0.0477 eV/atom

# 8
# PBE Hg3BiS, relaxed
data_Hg3BiS
_chemical_formula_sum 'Hg3 Bi1 S1'
_symmetry_space_group_name_H-M 'P m -3 m'
_symmetry_Int_Tables_number 221
_symmetry_space_group_name_Hall '-P 4 2 3'
_cell_length_a 5.772
_cell_length_b 5.772
_cell_length_c 5.772
_cell_angle_alpha 90.00
_cell_angle_beta 90.00
_cell_angle_gamma 90.00
loop_
_atom_site_label
_atom_site_type_symbol
_atom_site_fract_x
_atom_site_fract_y
_atom_site_fract_z
_atom_site_occupancy
Hg1 Hg 0.000 0.000 0.500 1
Bi1 Bi 0.000 0.000 0.000 1
S1 S 0.500 0.500 0.500 1
# - E above lowest polymorph: 0.1370 eV/atom

# 9
# PBE HgBiS3, relaxed
data_HgBiS3
_chemical_formula_sum 'Hg1 Bi1 S3'
_symmetry_space_group_name_H-M 'P m -3 m'
_symmetry_Int_Tables_number 221
_symmetry_space_group_name_Hall '-P 4 2 3'
_cell_length_a 5.241
_cell_length_b 5.241
_cell_length_c 5.241
_cell_angle_alpha 90.00
_cell_angle_beta 90.00
_cell_angle_gamma 90.00
loop_
_atom_site_label
_atom_site_type_symbol
_atom_site_fract_x
_atom_site_fract_y
_atom_site_fract_z
_atom_site_occupancy
Hg1 Hg 0.000 0.000 0.000 1
Bi1 Bi 0.500 0.500 0.500 1
S1 S 0.000 0.500 0.500 1
# - E above lowest polymorph: 0.5511 eV/atom

# 10
DFT (PBE) results for a geometry-optimized HgBi2S3 structure.

```
data_HgBi2S3
_chemical_formula_sum 'Hg4 Bi8 S12'
_symmetry_space_group_name_H-M 'C 1 2/c 1'
_symmetry_Int_Tables_number 15
_symmetry_space_group_name_Hall '-C 2yc'
_cell_length_a 13.965
_cell_length_b 5.805
_cell_length_c 8.129
_cell_angle_alpha 90.00
_cell_angle_beta 106.92
_cell_angle_gamma 90.00
loop_
_atom_site_label
_atom_site_type_symbol
_atom_site_fract_x
_atom_site_fract_y
_atom_site_fract_z
_atom_site_occupancy
Hg1 Hg 0.000 0.002 0.250 1
Bi1 Bi 0.162 0.500 0.081 1
S1 S 0.000 0.498 0.750 1
S2 S 0.196 0.000 0.098 1
```

# 11
DFT (PBE) results for a geometry-optimized HgBi2S5 structure.

```
data_HgBi2S5
_chemical_formula_sum 'Hg4 Bi8 S20'
_symmetry_space_group_name_H-M 'C m c m'
_symmetry_Int_Tables_number 63
_symmetry_space_group_name_Hall '-C 2c 2'
_cell_length_a 5.863
_cell_length_b 16.965
_cell_length_c 10.722
_cell_angle_alpha 90.00
_cell_angle_beta 90.00
_cell_angle_gamma 90.00
loop_
_atom_site_label
_atom_site_type_symbol
_atom_site_fract_x
_atom_site_fract_y
_atom_site_fract_z
_atom_site_occupancy
Hg1 Hg 0.000 0.166 0.250 1
Bi1 Bi 0.000 0.342 0.534 1
S1 S 0.000 0.166 0.027 1
S2 S 0.000 0.269 0.750 1
S3 S 0.000 0.491 0.597 1
```

# 12
DFT (PBE) results for a geometry-optimized SnHg2BiS structure.

```
data_SnHg2BiS
_chemical_formula_sum 'Sn1 Hg2 Bi1 S1'
_symmetry_space_group_name_H-M 'P 4/m m m'
_symmetry_Int_Tables_number 123
_symmetry_space_group_name_Hall '-P 4 2'
_cell_length_a 5.544
_cell_length_b 5.544
_cell_length_c 5.100
_cell_angle_alpha 90.00
_cell_angle_beta 90.00
_cell_angle_gamma 90.00
loop_
_atom_site_label
_atom_site_type_symbol
_atom_site_fract_x
_atom_site_fract_y
_atom_site_fract_z
_atom_site_occupancy
Sn1 Sn 0.000 0.000 0.000 1
Hg1 Hg 0.000 0.500 0.000 1
Bi1 Bi 0.500 0.500 0.500 1
S1 S 0.000 0.000 0.500 1
```

Calculated final energy in order - -2.957, -2.555, -3.033, -3.639, -3.814, -3.104, -3.766, -1.263, -2.767, -3.593, -3.673, -2.131 eV/atom
Calculated magnetic moment in order - 0.0, 0.0, 0.0, 0.0, 0.0, 0.0, 0.0, 0.0, 0.0, 0.0, 0.0, 0.0 μB per formula unit